No. 1
First-principles (GGA+U) data for a relaxed LaW4O12 crystal, as listed in Alexandria via LeMat-Bulk.

Unit cell a=6.792 b=6.792 c=6.792 alpha=109.47 beta=109.47 gamma=109.47
Atoms (fractional coordinates):
La 0.000 0.500 0.500
W 0.500 0.000 0.000
W 0.000 0.500 0.000
W 0.000 0.000 0.500
W 0.500 0.500 0.500
O 0.244 0.744 0.988
O 0.000 0.743 0.256
O 0.487 0.743 0.744
O 0.244 0.987 0.744
O 0.756 0.500 0.744
O 0.244 0.256 0.500
O 0.756 0.744 0.500
O 0.756 0.013 0.256
O 0.244 0.500 0.256
O 0.513 0.257 0.256
O 0.000 0.257 0.744
O 0.756 0.256 0.012

Output
Total DFT energy (no corrections), eV per atom: -7.684
Total magnetic moment, μB per cell: 0.4
DOS(E_F), states/eV/cell: 3.27



No. 2
First-principles (GGA+U) data for a relaxed Cr3HgO9 crystal, as listed in Alexandria via LeMat-Bulk.

Unit cell a=7.494 b=8.262 c=9.751 alpha=72.69 beta=67.40 gamma=63.03
Atoms (fractional coordinates):
Cr 0.821 0.554 0.658
Cr 0.967 0.054 0.158
Cr 0.009 0.943 0.847
Cr 0.200 0.443 0.347
Cr 0.617 0.250 0.718
Cr 0.415 0.750 0.218
Hg 0.028 0.490 0.002
Hg 0.480 0.990 0.502
O 0.304 0.210 0.373
O 0.112 0.710 0.873
O 0.449 0.326 0.871
O 0.355 0.826 0.371
O 0.174 0.039 0.741
O 0.046 0.539 0.241
O 0.649 0.734 0.116
O 0.501 0.234 0.616
O 0.840 0.977 0.322
O 0.862 0.477 0.822
O 0.642 0.771 0.639
O 0.949 0.271 0.139
O 0.409 0.532 0.259
O 0.800 0.032 0.759
O 0.751 0.395 0.614
O 0.241 0.895 0.114
O 0.876 0.037 0.019
O 0.067 0.537 0.519

Output
Total DFT energy (no corrections), eV per atom: -6.204
Total magnetic moment, μB per cell: 4.0